The following is a PBE calculation of CaTiBe2Cl after structural relaxation, from Alexandria via LeMat-Bulk.

Lattice parameters (Å, degrees): 4.5939 4.5939 4.4970 90.00 90.00 90.00
Fractional coordinates of all 5 atoms:
1 Ca 0.0000 0.0000 0.0000
2 Ti 0.5000 0.5000 0.0000
3 Be 0.0000 0.5000 0.5000
4 Be 0.5000 0.0000 0.5000
5 Cl 0.5000 0.5000 0.5000

Output
DFT total energy = -0.2290 Ry/atom
Energy relative to the elements, uncorrected = 3.62 eV per formula unit
Total magnetic moment = 0.000 μB/f.u.


The following is a PBE calculation of CaYBe2Cl after structural relaxation, from Alexandria via LeMat-Bulk.

Lattice parameters (Å, degrees): 5.2154 5.2154 5.1573 90.00 90.00 90.00
Fractional coordinates of all 5 atoms:
1 Ca 0.0000 0.0000 0.0000
2 Y 0.5000 0.5000 0.5000
3 Be 0.0000 0.5000 0.5000
4 Be 0.5000 0.0000 0.5000
5 Cl 0.5000 0.5000 0.0000

Output
DFT total energy = -0.2304 Ry/atom
Energy relative to the elements, uncorrected = 2.09 eV per formula unit
Total magnetic moment = 0.000 μB/f.u.